Record 1
Computed, not measured: a geometry-optimized YAlPb2 structure at the PBE level of DFT.

Summary:
- size of the total moment (μB/cell) = 0.0
- space group = No. 122
- DFT total energy (eV/atom) = -4.475
- calculated volume (Å³/atom) = 27.656

Unit cell a=8.2421 b=8.2421 c=6.6763 alpha=51.88 beta=51.88 gamma=90.00
Last column: nearest neighbours and their distance in Å.
Fractional coordinates of all 8 atoms:
1 Pb 0.1620 0.6250 0.2500  2 Al 2.83
2 Pb 0.8750 0.8380 0.7500  2 Al 2.83
3 Al 0.5000 0.5000 0.0000  4 Pb 2.83
4 Y 0.0000 0.0000 0.0000  4 Pb 3.24, 2 Al 3.26
5 Pb 0.5880 0.1250 0.2500  2 Al 2.83
6 Y 0.7500 0.2500 0.5000  4 Pb 3.24, 2 Al 3.26
7 Pb 0.3750 0.4120 0.7500  2 Al 2.83
8 Al 0.2500 0.7500 0.5000  4 Pb 2.83



Record 2
Computed, not measured: a geometry-optimized YAlPb2 structure at the PBE level of DFT.

Summary:
- size of the total moment (μB/cell) = 0.0
- space group = No. 123
- DFT total energy (eV/atom) = -4.412
- calculated volume (Å³/atom) = 27.223

Unit cell a=3.4946 b=3.4946 c=8.9165 alpha=90.00 beta=90.00 gamma=90.00
Last column: nearest neighbours and their distance in Å.
Fractional coordinates of all 4 atoms:
1 Pb 0.0000 0.0000 0.5124  4 Al 3.25, 4 Y 3.40, 4 Pb 3.49
2 Y 0.5000 0.5000 0.2500  8 Pb 3.40, 4 Y 3.49
3 Pb 0.0000 0.0000 0.9876  4 Al 3.25, 4 Y 3.40, 4 Pb 3.49
4 Al 0.5000 0.5000 0.7500  8 Pb 3.25, 4 Al 3.49



Record 3
Computed, not measured: a geometry-optimized YAlPb structure at the PBE level of DFT.

Summary:
- size of the total moment (μB/cell) = 0.0
- space group = No. 216
- DFT total energy (eV/atom) = -4.575
- calculated volume (Å³/atom) = 30.345

Unit cell a=5.0494 b=5.0494 c=5.0494 alpha=60.00 beta=60.00 gamma=60.00
Last column: nearest neighbours and their distance in Å.
Fractional coordinates of all 3 atoms:
1 Pb 0.5000 0.5000 0.5000  4 Y 3.09
2 Al 0.0000 0.0000 0.0000  4 Y 3.09
3 Y 0.7500 0.7500 0.7500  4 Pb 3.09, 4 Al 3.09



Record 4
Computed, not measured: a geometry-optimized YAlPb structure at the PBE level of DFT.

Summary:
- size of the total moment (μB/cell) = 0.0
- space group = No. 216
- DFT total energy (eV/atom) = -4.657
- calculated volume (Å³/atom) = 28.437

Unit cell a=4.9413 b=4.9413 c=4.9413 alpha=60.00 beta=60.00 gamma=60.00
Last column: nearest neighbours and their distance in Å.
Fractional coordinates of all 3 atoms:
1 Pb 0.0000 0.0000 0.0000  4 Al 3.03
2 Y 0.5000 0.5000 0.5000  4 Al 3.03
3 Al 0.7500 0.7500 0.7500  4 Y 3.03, 4 Pb 3.03



Record 5
Computed, not measured: a geometry-optimized YAlPb structure at the PBE level of DFT.

Summary:
- size of the total moment (μB/cell) = 0.0
- space group = No. 156
- DFT total energy (eV/atom) = -4.634
- calculated volume (Å³/atom) = 26.463

Unit cell a=3.4560 b=3.4560 c=7.6749 alpha=90.00 beta=90.00 gamma=120.00
Last column: nearest neighbours and their distance in Å.
Fractional coordinates of all 3 atoms:
1 Pb 0.6667 0.3333 0.3155  3 Al 3.12, 3 Y 3.44, 6 Pb 3.46
2 Y 0.3333 0.6667 0.6814  3 Al 3.17, 3 Pb 3.44, 6 Y 3.46
3 Al 0.0000 0.0000 0.0031  3 Pb 3.12, 3 Y 3.17, 6 Al 3.46



Record 6
Computed, not measured: a geometry-optimized YAlPb2 structure at the PBE level of DFT.

Summary:
- size of the total moment (μB/cell) = 0.0
- space group = No. 119
- DFT total energy (eV/atom) = -4.607
- calculated volume (Å³/atom) = 25.948

Unit cell a=6.0227 b=6.0227 c=6.0227 alpha=136.06 beta=136.06 gamma=63.89
Last column: nearest neighbours and their distance in Å.
Fractional coordinates of all 4 atoms:
1 Al 0.7500 0.2500 0.5000  8 Pb 3.19-3.41, 4 Y 3.41
2 Pb 0.2500 0.7500 0.5000  4 Al 3.19, 4 Y 3.41, 4 Pb 3.41
3 Y 0.5000 0.5000 0.0000  8 Pb 3.19-3.41, 4 Al 3.41
4 Pb 0.0000 0.0000 0.0000  4 Y 3.19, 4 Pb 3.41, 4 Al 3.41



Record 7
Computed, not measured: a geometry-optimized Y2AlPb structure at the PBE level of DFT.

Summary:
- size of the total moment (μB/cell) = 0.0
- space group = No. 12
- DFT total energy (eV/atom) = -5.384
- calculated volume (Å³/atom) = 27.985

Unit cell a=5.1045 b=5.1045 c=6.5988 alpha=79.57 beta=79.57 gamma=41.57
Last column: nearest neighbours and their distance in Å.
Fractional coordinates of all 4 atoms:
1 Al 0.7500 0.7500 0.7500  6 Y 3.11-3.12
2 Y 0.0054 0.0054 0.9827  3 Al 3.11-3.12, 3 Pb 3.19-3.27
3 Y 0.4946 0.4946 0.5173  3 Al 3.11-3.12, 3 Pb 3.19-3.27
4 Pb 0.2500 0.2500 0.2500  6 Y 3.19-3.27



Record 8
Computed, not measured: a geometry-optimized YAl2Pb structure at the PBE level of DFT.

Summary:
- size of the total moment (μB/cell) = 0.0
- space group = No. 139
- DFT total energy (eV/atom) = -4.622
- calculated volume (Å³/atom) = 22.899

Unit cell a=5.7935 b=5.7935 c=5.7935 alpha=136.29 beta=136.32 gamma=63.51
Last column: nearest neighbours and their distance in Å.
Fractional coordinates of all 4 atoms:
1 Pb 0.7500 0.2500 0.5000  4 Y 3.05, 8 Al 3.27
2 Al 0.0001 0.0001 0.0000  4 Al 3.05, 4 Pb 3.27, 4 Y 3.27
3 Y 0.2500 0.7500 0.5000  4 Pb 3.05, 8 Al 3.27
4 Al 0.4999 0.4999 0.0000  4 Al 3.05, 4 Pb 3.27, 4 Y 3.27